No. 1
Entry from the Alexandria database: a geometry-optimized GdReGe2 structure (PBE).

Results
formation enthalpy at 0 K	-0.310	eV per atom

Cell: 4.2828 4.2828 14.5453 Å, 90.00 90.00 120.00°
Space group R-3m (No. 166, hexagonal axes)
Inequivalent atoms, fractional coordinates:
Gd 0.0000 0.0000 0.0000 (multiplicity 3)
Re 0.0000 0.0000 0.5000 (multiplicity 3)
Ge 0.0000 0.0000 0.2214 (multiplicity 6)

***

No. 2
Entry from the Alexandria database: a geometry-optimized Al2Mo structure (PBE).

Results
formation enthalpy at 0 K	0.423	eV per atom

Cell: 6.077 6.077 6.077 Å, 90.00 90.00 90.00°
Space group Fm-3m (No. 225)
Inequivalent atoms, fractional coordinates:
Al 0.250 0.250 0.250 (multiplicity 8)
Mo 0.000 0.000 0.000 (multiplicity 4)